*1*
DFT (PBE-GGA) results for Ti4CuPd after structural relaxation.

symmetry = No. 15
N(E_F) = 1.438 states/eV/atom

The structure in extended XYZ format:
```
12
Lattice="7.509 -2.625 0.000 7.509 2.625 0.000 -0.674 0.000 5.089" Properties=species:S:1:pos:R:3 pbc="T T T"
Ti 5.972 1.936 2.783
Ti 4.467 0.836 4.911
Ti 8.036 1.936 4.851
Ti 4.804 -0.836 2.367
Ti 9.541 0.836 2.723
Ti 6.309 -1.936 0.239
Ti 9.878 -0.836 0.178
Ti 8.373 -1.936 2.306
Cu 3.418 1.312 2.545
Cu 3.755 -1.312 0.000
Pd 7.341 0.391 1.272
Pd 7.004 -0.391 3.817
```

*2*
DFT (PBE-GGA) results for Ti4CuPd after structural relaxation.

symmetry = No. 123
N(E_F) = 0.538 states/eV/atom

The structure in extended XYZ format:
```
6
Lattice="2.940 0.000 0.000 0.000 2.940 0.000 0.000 0.000 11.015" Properties=species:S:1:pos:R:3 pbc="T T T"
Ti 0.000 0.000 1.746
Ti 0.000 0.000 9.269
Ti 1.470 1.470 3.636
Ti 1.470 1.470 7.380
Cu 1.470 1.470 0.000
Pd 0.000 0.000 5.508
```

The most stable arrangement is *2*, and the next structure is 31.2 kJ/mol of atoms less stable.

*1*
DFT (PBE-GGA) results for TiCuPd3 after structural relaxation.

symmetry = No. 221
N(E_F) = 4.909 states/eV/atom

The structure in extended XYZ format:
```
5
Lattice="4.535 0.000 0.000 0.000 4.535 0.000 0.000 0.000 4.535" Properties=species:S:1:pos:R:3 pbc="T T T"
Ti 0.000 0.000 0.000
Cu 2.267 2.267 2.267
Pd 0.000 2.267 2.267
Pd 2.267 0.000 2.267
Pd 2.267 2.267 0.000
```

*2*
DFT (PBE-GGA) results for TiCuPd3 after structural relaxation.

symmetry = No. 63
N(E_F) = 0.474 states/eV/atom

The structure in extended XYZ format:
```
10
Lattice="1.996 -9.364 0.000 1.996 9.364 0.000 0.000 0.000 3.932" Properties=species:S:1:pos:R:3 pbc="T T T"
Ti 1.996 6.552 2.949
Ti 1.996 -6.552 0.983
Cu 1.996 2.817 2.949
Cu 1.996 -2.817 0.983
Pd 1.996 8.286 0.983
Pd 1.996 4.678 0.983
Pd 1.996 1.030 0.983
Pd 1.996 -1.030 2.949
Pd 1.996 -4.678 2.949
Pd 1.996 -8.286 2.949
```

The most stable arrangement is *2*, and the next structure is 105.7 kJ/mol of atoms less stable.

*1*
DFT (PBE-GGA) results for TiCuPd3 after structural relaxation.

symmetry = No. 62
N(E_F) = 0.532 states/eV/atom

The structure in extended XYZ format:
```
20
Lattice="5.486 0.000 0.000 0.000 7.636 0.000 0.000 0.000 7.342" Properties=species:S:1:pos:R:3 pbc="T T T"
Ti 1.079 1.909 0.064
Ti 1.665 5.727 3.735
Ti 3.822 1.909 3.607
Ti 4.408 5.727 7.278
Cu 0.000 0.000 3.671
Cu 0.000 3.818 3.671
Cu 2.743 0.000 0.000
Cu 2.743 3.818 0.000
Pd 0.587 4.295 6.059
Pd 0.587 7.159 6.059
Pd 1.254 5.727 1.133
Pd 1.489 1.909 4.804
Pd 2.156 0.477 2.388
Pd 2.156 3.341 2.388
Pd 3.331 4.295 4.954
Pd 3.331 7.159 4.954
Pd 3.998 5.727 2.538
Pd 4.232 1.909 6.209
Pd 4.899 0.477 1.283
Pd 4.899 3.341 1.283
```

*2*
DFT (PBE-GGA) results for TiCuPd3 after structural relaxation.

symmetry = No. 221
N(E_F) = 0.601 states/eV/atom

The structure in extended XYZ format:
```
5
Lattice="4.623 0.000 0.000 0.000 4.623 0.000 0.000 0.000 4.623" Properties=species:S:1:pos:R:3 pbc="T T T"
Ti 0.000 0.000 0.000
Cu 2.311 2.311 2.311
Pd 0.000 0.000 2.311
Pd 0.000 2.311 0.000
Pd 2.311 0.000 0.000
```

The most stable arrangement is *1*, and the next structure is 86.3 kJ/mol of atoms less stable.

*1*
DFT (PBE-GGA) results for Ti3CuPd4 after structural relaxation.

symmetry = No. 31
N(E_F) = 0.959 states/eV/atom

The structure in extended XYZ format:
```
16
Lattice="9.144 0.000 0.000 0.000 5.439 0.000 0.000 0.000 4.904" Properties=species:S:1:pos:R:3 pbc="T T T"
Ti 0.000 0.469 0.000
Ti 2.141 3.474 1.357
Ti 2.431 1.965 3.809
Ti 4.572 4.970 2.452
Ti 6.713 1.965 3.809
Ti 7.003 3.474 1.357
Cu 0.000 4.641 2.389
Cu 4.572 0.799 4.840
Pd 0.000 1.872 2.385
Pd 0.000 3.241 4.774
Pd 2.255 4.711 3.802
Pd 2.317 0.728 1.350
Pd 4.572 2.198 2.323
Pd 4.572 3.568 4.836
Pd 6.827 0.728 1.350
Pd 6.889 4.711 3.802
```

*2*
DFT (PBE-GGA) results for Ti3CuPd4 after structural relaxation.

symmetry = No. 51
N(E_F) = 0.774 states/eV/atom

The structure in extended XYZ format:
```
16
Lattice="9.105 0.000 0.000 0.000 5.583 0.000 0.000 0.000 4.776" Properties=species:S:1:pos:R:3 pbc="T T T"
Ti 0.000 0.000 0.000
Ti 2.276 0.000 1.848
Ti 2.276 2.791 1.667
Ti 4.553 0.000 0.000
Ti 6.829 0.000 2.928
Ti 6.829 2.791 3.109
Cu 0.000 2.791 0.000
Cu 4.553 2.791 0.000
Pd 0.000 1.411 2.388
Pd 0.000 4.172 2.388
Pd 2.276 1.408 4.154
Pd 2.276 4.175 4.154
Pd 4.553 1.411 2.388
Pd 4.553 4.172 2.388
Pd 6.829 1.408 0.622
Pd 6.829 4.175 0.622
```

The most stable arrangement is *2*, and the next structure is 3.3 kJ/mol of atoms less stable.

*1*
DFT (PBE-GGA) results for TiCu6Pd12 after structural relaxation.

symmetry = No. 148
N(E_F) = 0.679 states/eV/atom

The structure in extended XYZ format:
```
19
Lattice="5.939 3.429 2.245 -5.939 3.429 2.245 0.000 -6.857 2.245" Properties=species:S:1:pos:R:3 pbc="T T T"
Ti 0.000 0.000 0.000
Cu -3.128 -0.360 2.215
Cu 1.876 -2.529 2.215
Cu -1.252 -2.889 4.521
Cu 1.252 2.889 2.215
Cu -1.876 2.529 4.521
Cu 3.128 0.360 4.521
Pd -0.326 -4.130 2.271
Pd -3.414 2.347 2.271
Pd -0.662 -1.445 2.240
Pd -3.739 -1.783 4.465
Pd -0.920 1.296 2.240
Pd 1.582 0.149 2.240
Pd -1.582 -0.149 4.496
Pd 0.920 -1.296 4.496
Pd 3.739 1.783 2.271
Pd 0.662 1.445 4.496
Pd 3.414 -2.347 4.465
Pd 0.326 4.130 4.465
```

*2*
DFT (PBE-GGA) results for TiCu6Pd12 after structural relaxation.

symmetry = No. 148
N(E_F) = 0.601 states/eV/atom

The structure in extended XYZ format:
```
19
Lattice="4.628 2.672 3.787 -4.628 2.672 3.787 0.000 -5.344 3.787" Properties=species:S:1:pos:R:3 pbc="T T T"
Ti 0.000 0.000 0.000
Cu -0.713 -2.861 4.207
Cu -2.121 2.048 4.207
Cu -2.834 -0.813 7.153
Cu 2.834 0.813 4.207
Cu 2.121 -2.048 7.153
Cu 0.713 2.861 7.153
Pd -1.592 0.228 2.023
Pd 0.599 -1.493 2.023
Pd -1.702 -0.476 4.661
Pd 0.994 1.265 2.023
Pd -0.438 -1.712 6.698
Pd 1.263 -1.236 4.661
Pd -1.263 1.236 6.698
Pd 0.438 1.712 4.661
Pd -0.994 -1.265 9.337
Pd 1.702 0.476 6.698
Pd -0.599 1.493 9.337
Pd 1.592 -0.228 9.337
```

The most stable arrangement is *1*, and the next structure is 9.0 kJ/mol of atoms less stable.

*1*
DFT (PBE-GGA) results for TiCuPd6 after structural relaxation.

symmetry = No. 123
N(E_F) = 1.094 states/eV/atom

The structure in extended XYZ format:
```
8
Lattice="5.545 0.000 0.000 0.000 5.545 0.000 0.000 0.000 3.890" Properties=species:S:1:pos:R:3 pbc="T T T"
Ti 0.000 0.000 0.000
Cu 2.772 2.772 0.000
Pd 0.000 2.772 0.000
Pd 1.382 1.382 1.945
Pd 1.382 4.163 1.945
Pd 2.772 0.000 0.000
Pd 4.163 1.382 1.945
Pd 4.163 4.163 1.945
```

*2*
DFT (PBE-GGA) results for TiCuPd6 after structural relaxation.

symmetry = No. 12
N(E_F) = 0.660 states/eV/atom

The structure in extended XYZ format:
```
16
Lattice="7.554 0.000 0.000 0.000 5.322 0.000 -2.461 0.000 6.728" Properties=species:S:1:pos:R:3 pbc="T T T"
Ti 0.000 0.000 0.000
Ti 3.777 2.661 0.000
Cu -1.230 2.661 3.364
Cu 2.546 0.000 3.364
Pd 0.032 0.000 2.942
Pd -0.512 1.298 5.399
Pd -0.512 4.025 5.399
Pd 1.827 1.364 1.329
Pd 1.827 3.959 1.329
Pd 1.284 2.661 3.786
Pd 3.809 2.661 2.942
Pd 3.265 1.364 5.399
Pd 3.265 3.959 5.399
Pd 5.604 1.298 1.329
Pd 5.604 4.025 1.329
Pd 5.061 0.000 3.786
```

The most stable arrangement is *1*, and the next structure is 30.6 kJ/mol of atoms less stable.

*1*
DFT (PBE-GGA) results for TiCu4Pd7 after structural relaxation.

symmetry = No. 164
N(E_F) = 0.540 states/eV/atom

The structure in extended XYZ format:
```
12
Lattice="4.334 0.000 0.000 -2.167 3.753 0.000 0.000 0.000 10.628" Properties=species:S:1:pos:R:3 pbc="T T T"
Ti 0.000 0.000 0.000
Cu 0.000 2.502 1.818
Cu 0.000 2.502 4.343
Cu 2.167 1.251 6.284
Cu 2.167 1.251 8.809
Pd 0.000 0.000 2.515
Pd 0.000 0.000 5.314
Pd 0.000 0.000 8.113
Pd 0.000 2.502 6.929
Pd 0.000 2.502 9.755
Pd 2.167 1.251 0.873
Pd 2.167 1.251 3.698
```

*2*
DFT (PBE-GGA) results for TiCu4Pd7 after structural relaxation.

symmetry = No. 12
N(E_F) = 0.462 states/eV/atom

The structure in extended XYZ format:
```
12
Lattice="6.052 -2.312 0.000 6.052 2.312 0.000 -3.692 0.000 6.494" Properties=species:S:1:pos:R:3 pbc="T T T"
Ti 0.000 0.000 0.000
Cu 1.472 0.000 4.166
Cu 4.425 0.000 1.989
Cu 3.987 0.000 4.506
Cu 6.941 0.000 2.328
Pd -0.605 0.000 2.695
Pd -0.973 0.000 5.604
Pd 1.933 0.000 1.683
Pd 6.052 0.000 0.000
Pd 6.479 0.000 4.811
Pd 9.386 0.000 0.890
Pd 9.017 0.000 3.800
```

The most stable arrangement is *1*, and the next structure is 17.9 kJ/mol of atoms less stable.

*1*
DFT (PBE-GGA) results for Ti3CuPd after structural relaxation.

symmetry = No. 15
N(E_F) = 0.990 states/eV/atom

The structure in extended XYZ format:
```
20
Lattice="4.808 -5.375 0.000 4.808 5.375 0.000 -1.852 0.000 6.201" Properties=species:S:1:pos:R:3 pbc="T T T"
Ti 1.124 0.359 0.513
Ti 1.323 1.917 5.435
Ti 0.198 -0.359 3.613
Ti 2.787 1.239 2.251
Ti 1.861 -1.239 5.352
Ti 2.250 -1.917 2.335
Ti 5.515 1.917 3.866
Ti 5.903 1.239 0.849
Ti 4.977 -1.239 3.950
Ti 7.566 0.359 2.588
Ti 6.441 -1.917 0.765
Ti 6.640 -0.359 5.688
Cu 2.717 3.348 3.625
Cu 4.121 3.348 5.676
Cu 3.643 -3.348 0.525
Cu 5.047 -3.348 2.576
Pd 4.345 3.377 1.550
Pd 3.419 0.671 4.651
Pd 4.345 -0.671 1.550
Pd 3.419 -3.377 4.651
```

*2*
DFT (PBE-GGA) results for Ti3CuPd after structural relaxation.

symmetry = No. 221
N(E_F) = 1.427 states/eV/atom

The structure in extended XYZ format:
```
5
Lattice="4.752 0.000 0.000 0.000 4.752 0.000 0.000 0.000 4.752" Properties=species:S:1:pos:R:3 pbc="T T T"
Ti 0.000 0.000 2.376
Ti 0.000 2.376 0.000
Ti 2.376 0.000 0.000
Cu 2.376 2.376 2.376
Pd 0.000 0.000 0.000
```

The most stable arrangement is *1*, and the next structure is 90.5 kJ/mol of atoms less stable.

*1*
DFT (PBE-GGA) results for TiCu2Pd4 after structural relaxation.

symmetry = No. 139
N(E_F) = 0.354 states/eV/atom

The structure in extended XYZ format:
```
14
Lattice="4.677 0.000 0.000 0.000 4.677 0.000 0.000 0.000 12.192" Properties=species:S:1:pos:R:3 pbc="T T T"
Ti 0.000 0.000 0.000
Ti 2.338 2.338 6.096
Cu 0.000 0.000 4.849
Cu 0.000 0.000 7.343
Cu 2.338 2.338 1.247
Cu 2.338 2.338 10.945
Pd 0.000 0.000 2.318
Pd 0.000 0.000 9.874
Pd 0.000 2.338 0.000
Pd 0.000 2.338 6.096
Pd 2.338 0.000 0.000
Pd 2.338 0.000 6.096
Pd 2.338 2.338 3.778
Pd 2.338 2.338 8.414
```

*2*
DFT (PBE-GGA) results for TiCu2Pd4 after structural relaxation.

symmetry = No. 1
N(E_F) = 0.424 states/eV/atom

The structure in extended XYZ format:
```
14
Lattice="6.658 0.000 0.000 -3.207 5.866 0.000 -3.212 -1.978 5.522" Properties=species:S:1:pos:R:3 pbc="T T T"
Ti 0.000 0.000 0.000
Ti 0.116 -1.486 5.173
Cu -1.385 1.511 1.896
Cu 0.460 -0.151 2.671
Cu -0.227 1.319 4.772
Cu 1.618 2.608 3.461
Pd -1.853 -0.552 3.823
Pd -1.419 4.340 0.646
Pd -2.618 2.124 4.221
Pd 0.944 2.166 0.938
Pd -0.708 3.731 3.167
Pd 2.854 0.627 2.098
Pd 1.662 4.745 1.218
Pd 2.086 0.103 4.751
```

The most stable arrangement is *2*, and the next structure is 63.5 kJ/mol of atoms less stable.

*1*
DFT (PBE-GGA) results for Ti2Cu4Pd after structural relaxation.

symmetry = No. 139
N(E_F) = 1.252 states/eV/atom

The structure in extended XYZ format:
```
14
Lattice="4.649 0.000 0.000 0.000 4.649 0.000 0.000 0.000 12.330" Properties=species:S:1:pos:R:3 pbc="T T T"
Ti 0.000 0.000 1.235
Ti 0.000 0.000 11.095
Ti 2.324 2.324 4.930
Ti 2.324 2.324 7.400
Cu 0.000 0.000 3.710
Cu 0.000 0.000 8.620
Cu 0.000 2.324 0.000
Cu 0.000 2.324 6.165
Cu 2.324 0.000 0.000
Cu 2.324 0.000 6.165
Cu 2.324 2.324 2.455
Cu 2.324 2.324 9.875
Pd 0.000 0.000 6.165
Pd 2.324 2.324 0.000
```

*2*
DFT (PBE-GGA) results for Ti2Cu4Pd after structural relaxation.

symmetry = No. 140
N(E_F) = 0.193 states/eV/atom

The structure in extended XYZ format:
```
14
Lattice="-3.610 3.610 3.950 3.610 -3.610 3.950 3.610 3.610 -3.950" Properties=species:S:1:pos:R:3 pbc="T T T"
Ti 4.723 1.113 0.000
Ti 1.113 2.496 0.000
Ti 2.496 1.113 3.950
Ti -1.113 2.496 3.950
Cu 4.660 -1.050 1.335
Cu 2.560 -1.050 2.616
Cu 2.560 1.050 1.335
Cu 4.660 1.050 2.616
Cu -1.050 2.560 1.335
Cu 1.050 2.560 2.616
Cu 1.050 4.660 1.335
Cu -1.050 4.660 2.616
Pd 0.000 0.000 1.975
Pd 0.000 0.000 5.925
```

The most stable arrangement is *2*, and the next structure is 72.0 kJ/mol of atoms less stable.